1.
DFT (PBE-GGA) results for a geometry-optimized Li2TlCr structure.

Unit cell a=3.512 b=3.512 c=6.222 alpha=90.00 beta=90.00 gamma=90.00
Space group P4mm (No. 99)
One atom of each set of equivalent atoms:
Li 0.000 0.000 0.000
Li 0.500 0.500 0.248
Tl 0.000 0.000 0.500
Cr 0.500 0.500 0.757

E_form: 256.5 meV/atom

2.
DFT (PBE-GGA) results for a geometry-optimized Ag2Cl2F structure.

Unit cell a=11.104 b=6.434 c=6.943 alpha=90.00 beta=121.59 gamma=90.00
Space group Cc (No. 9)
One atom of each set of equivalent atoms:
Ag 0.000 0.205 0.000
Ag 0.299 0.235 0.922
Cl 0.236 0.412 0.203
Cl 0.394 0.087 0.690
F 0.053 0.093 0.750

Formation energy without anion corrections: -0.62 eV/atom

3.
DFT (PBE-GGA) results for a geometry-optimized NaMnAs2Br structure.

Unit cell a=5.105 b=5.105 c=5.254 alpha=90.00 beta=90.00 gamma=90.00
Space group P4/mmm (No. 123)
One atom of each set of equivalent atoms:
Na 0.000 0.000 0.000
Mn 0.500 0.500 0.500
As 0.000 0.500 0.000
Br 0.000 0.000 0.500

Formation energy without anion corrections: 0.89 eV/atom
Energy above the lowest structure with this stoichiometry: 1.089 eV per atom

4.
DFT (PBE-GGA) results for a geometry-optimized Tb5Ge structure.

Unit cell a=4.716 b=14.858 c=4.805 alpha=90.00 beta=90.00 gamma=90.00
Space group Cmmm (No. 65)
One atom of each set of equivalent atoms:
Tb 0.000 0.000 0.000
Tb 0.000 0.158 0.500
Tb 0.000 0.336 0.000
Ge 0.000 0.500 0.500

E_form: -188.5 meV/atom

Short version: spin magnetization = 4.278, 0.000, 3.646, 0.001 μB per formula unit, in the order given.
Short version: volume = 19.19, 21.12, 27.39, 28.06 Å³ per atom, in the order given.